# HIrSe2I, optimized geometry, DFT PBE
data_HIrSe2I
_chemical_formula_sum 'H1 Ir1 Se2 I1'
_cell_length_a 5.568
_cell_length_b 4.923
_cell_length_c 5.568
_cell_angle_alpha 90.00
_cell_angle_beta 90.00
_cell_angle_gamma 90.00
_symmetry_space_group_name_H-M 'P 1'
_symmetry_Int_Tables_number 1
loop_
_symmetry_equiv_pos_as_xyz
'x,y,z'
loop_
_atom_site_label
_atom_site_type_symbol
_atom_site_fract_x
_atom_site_fract_y
_atom_site_fract_z
H1 H 0.500 0.500 0.500
I1 I 0.000 0.000 0.000
Se1 Se 0.000 0.000 0.500
Se2 Se 0.500 0.000 0.000
Ir1 Ir 0.000 0.500 0.000
# * calculated total energy: -2.35 eV per atom
# * crystal system: tetragonal